! CrIrSe, optimized geometry, DFT PBE-GGA; values from VASP
&SYSTEM
  ibrav = 0, nat = 3, ntyp = 3
/
ATOMIC_SPECIES
Se 78.96 Se.upf
Cr 52.00 Cr.upf
Ir 192.22 Ir.upf
CELL_PARAMETERS angstrom
-4.5318 -2.9357 1.4768
-2.1358 -5.0613 -1.0759
4.3543 3.2278 1.3991
ATOMIC_POSITIONS crystal
Se 0.6487 0.6487 0.0000
Cr 0.0011 0.0011 0.0000
Ir 0.3502 0.3502 0.0000
! Formation energy (no corrections) (eV/atom): 0.177
! Space group: I4mm
! Crystal system: tetragonal
! Electronic total energy (hartree per atom): -0.2626